DFT (PBE) results for a relaxed structure of LiNdGeO4.

## Properties
Magnetic moment: 0.00 μB per atom

abc: 5.150 12.054 5.449
angles: 90.00 90.00 90.00
Fractional coordinates of all 28 atoms:
Li (0.000, 0.233, 0.250)
Li (0.000, 0.767, 0.750)
Li (0.500, 0.267, 0.750)
Li (0.500, 0.733, 0.250)
Nd (0.000, 0.113, 0.750)
Nd (0.000, 0.887, 0.250)
Nd (0.500, 0.387, 0.250)
Nd (0.500, 0.613, 0.750)
Ge (0.000, 0.390, 0.750)
Ge (0.000, 0.610, 0.250)
Ge (0.500, 0.110, 0.250)
Ge (0.500, 0.890, 0.750)
O (0.176, 0.298, 0.547)
O (0.176, 0.702, 0.047)
O (0.249, 0.043, 0.415)
O (0.249, 0.957, 0.915)
O (0.251, 0.457, 0.915)
O (0.251, 0.543, 0.415)
O (0.324, 0.202, 0.047)
O (0.324, 0.798, 0.547)
O (0.676, 0.202, 0.453)
O (0.676, 0.798, 0.953)
O (0.749, 0.457, 0.585)
O (0.749, 0.543, 0.085)
O (0.751, 0.043, 0.085)
O (0.751, 0.957, 0.585)
O (0.824, 0.298, 0.953)
O (0.824, 0.702, 0.453)

---

DFT (PBE) results for a relaxed structure of LiNd2GeO6.

## Properties
Magnetic moment: 0.11 μB per atom

abc: 5.432 5.742 9.311
angles: 90.00 124.38 90.00
Fractional coordinates of all 20 atoms:
Li (0.000, 0.000, 0.000)
Li (0.000, 0.500, 0.500)
Nd (0.229, 0.067, 0.748)
Nd (0.229, 0.433, 0.248)
Nd (0.771, 0.567, 0.752)
Nd (0.771, 0.933, 0.252)
Ge (0.500, 0.000, 0.500)
Ge (0.500, 0.500, 0.000)
O (0.171, 0.186, 0.456)
O (0.171, 0.314, 0.956)
O (0.266, 0.720, 0.450)
O (0.266, 0.780, 0.950)
O (0.351, 0.025, 0.260)
O (0.351, 0.475, 0.760)
O (0.649, 0.525, 0.240)
O (0.649, 0.975, 0.740)
O (0.734, 0.220, 0.050)
O (0.734, 0.280, 0.550)
O (0.829, 0.686, 0.044)
O (0.829, 0.814, 0.544)

---

DFT (PBE) results for a relaxed structure of LiNd2GeO5.

## Properties
Magnetic moment: 0.10 μB per atom

abc: 6.790 6.790 5.799
angles: 90.00 90.00 90.00
Fractional coordinates of all 18 atoms:
Li (0.000, 0.000, 0.000)
Li (0.500, 0.500, 0.000)
Nd (0.177, 0.323, 0.500)
Nd (0.323, 0.823, 0.500)
Nd (0.677, 0.177, 0.500)
Nd (0.823, 0.677, 0.500)
Ge (0.000, 0.500, 0.000)
Ge (0.500, 0.000, 0.000)
O (0.000, 0.000, 0.500)
O (0.135, 0.635, 0.242)
O (0.135, 0.635, 0.758)
O (0.365, 0.135, 0.242)
O (0.365, 0.135, 0.758)
O (0.500, 0.500, 0.500)
O (0.635, 0.865, 0.242)
O (0.635, 0.865, 0.758)
O (0.865, 0.365, 0.242)
O (0.865, 0.365, 0.758)

---

DFT (PBE) results for a relaxed structure of LiNdGe2Os.

## Properties
E_form: -0.42 eV/atom
Magnetic moment: 0.00 μB per atom

abc: 4.228 4.228 10.475
angles: 90.00 90.00 90.00
Fractional coordinates of all 10 atoms:
Li (0.000, 0.000, 0.000)
Li (0.500, 0.500, 0.500)
Nd (0.000, 0.500, 0.750)
Nd (0.500, 0.000, 0.250)
Ge (0.000, 0.500, 0.123)
Ge (0.000, 0.500, 0.377)
Ge (0.500, 0.000, 0.623)
Ge (0.500, 0.000, 0.877)
Os (0.000, 0.000, 0.500)
Os (0.500, 0.500, 0.000)

---

DFT (PBE) results for a relaxed structure of LiNd2Ge4Pd3.

## Properties
E_form: -0.76 eV/atom
Magnetic moment: 0.00 μB per atom

abc: 4.307 4.307 10.416
angles: 90.00 90.00 90.00
Fractional coordinates of all 10 atoms:
Li (0.000, 0.000, 0.000)
Nd (0.000, 0.500, 0.752)
Nd (0.500, 0.000, 0.248)
Ge (0.000, 0.000, 0.500)
Ge (0.000, 0.500, 0.134)
Ge (0.500, 0.000, 0.866)
Ge (0.500, 0.500, 0.500)
Pd (0.000, 0.500, 0.372)
Pd (0.500, 0.000, 0.628)
Pd (0.500, 0.500, 0.000)

---

DFT (PBE) results for a relaxed structure of Li3Nd2Ge4Pd.

## Properties
E_form: -0.62 eV/atom
Magnetic moment: 0.00 μB per atom

abc: 4.284 4.284 10.231
angles: 90.00 90.00 90.00
Fractional coordinates of all 10 atoms:
Li (0.000, 0.000, 0.000)
Li (0.000, 0.500, 0.630)
Li (0.500, 0.000, 0.370)
Nd (0.000, 0.500, 0.254)
Nd (0.500, 0.000, 0.746)
Ge (0.000, 0.000, 0.500)
Ge (0.000, 0.500, 0.870)
Ge (0.500, 0.000, 0.130)
Ge (0.500, 0.500, 0.500)
Pd (0.500, 0.500, 0.000)

---

DFT (PBE) results for a relaxed structure of LiNdGe2Pd.

## Properties
E_form: -0.76 eV/atom
Magnetic moment: 0.00 μB per atom

abc: 4.181 4.181 10.836
angles: 90.00 90.00 90.00
Fractional coordinates of all 10 atoms:
Li (0.000, 0.000, 0.000)
Li (0.500, 0.500, 0.500)
Nd (0.000, 0.500, 0.250)
Nd (0.500, 0.000, 0.750)
Ge (0.000, 0.500, 0.635)
Ge (0.000, 0.500, 0.865)
Ge (0.500, 0.000, 0.135)
Ge (0.500, 0.000, 0.365)
Pd (0.000, 0.000, 0.500)
Pd (0.500, 0.500, 0.000)

---

DFT (PBE) results for a relaxed structure of LiNd2Ge3Pd4.

## Properties
E_form: -0.81 eV/atom
Magnetic moment: 0.00 μB per atom

abc: 4.297 4.297 10.296
angles: 90.00 90.00 90.00
Fractional coordinates of all 10 atoms:
Li (0.000, 0.000, 0.000)
Nd (0.000, 0.500, 0.749)
Nd (0.500, 0.000, 0.251)
Ge (0.000, 0.500, 0.366)
Ge (0.500, 0.000, 0.634)
Ge (0.500, 0.500, 0.000)
Pd (0.000, 0.000, 0.500)
Pd (0.000, 0.500, 0.126)
Pd (0.500, 0.000, 0.874)
Pd (0.500, 0.500, 0.500)

---

DFT (PBE) results for a relaxed structure of LiNd2GePd6.

## Properties
E_form: -0.60 eV/atom
Magnetic moment: 0.00 μB per atom

abc: 5.554 6.444 6.505
angles: 73.65 65.34 64.71
Fractional coordinates of all 10 atoms:
Li (0.000, 0.000, 0.000)
Nd (0.496, 0.756, 0.249)
Nd (0.504, 0.244, 0.751)
Ge (0.000, 0.500, 0.500)
Pd (0.010, 0.687, 0.797)
Pd (0.170, 0.073, 0.586)
Pd (0.492, 0.309, 0.205)
Pd (0.508, 0.691, 0.795)
Pd (0.830, 0.927, 0.414)
Pd (0.990, 0.313, 0.203)

---

DFT (PBE) results for a relaxed structure of LiNdGe2Pd2.

## Properties
E_form: -0.78 eV/atom
Magnetic moment: 0.00 μB per atom

abc: 4.297 4.297 6.864
angles: 90.00 90.00 120.00
Fractional coordinates of all 6 atoms:
Li (0.000, 0.000, 0.000)
Nd (0.000, 0.000, 0.500)
Ge (0.333, 0.667, 0.771)
Ge (0.667, 0.333, 0.229)
Pd (0.333, 0.667, 0.143)
Pd (0.667, 0.333, 0.857)

---

DFT (PBE) results for a relaxed structure of LiNdGe2Pd5.

## Properties
E_form: -0.61 eV/atom
Magnetic moment: 0.00 μB per atom

abc: 4.181 4.181 9.374
angles: 90.00 90.00 90.00
Fractional coordinates of all 9 atoms:
Li (0.000, 0.000, 0.000)
Nd (0.000, 0.000, 0.500)
Ge (0.500, 0.500, 0.130)
Ge (0.500, 0.500, 0.870)
Pd (0.000, 0.500, 0.269)
Pd (0.000, 0.500, 0.731)
Pd (0.500, 0.000, 0.269)
Pd (0.500, 0.000, 0.731)
Pd (0.500, 0.500, 0.500)

---

DFT (PBE) results for a relaxed structure of LiPmNdGe.

## Properties
E_form: -0.42 eV/atom
Magnetic moment: 0.00 μB per atom

abc: 7.326 7.326 7.326
angles: 90.00 90.00 90.00
Fractional coordinates of all 16 atoms:
Li (0.000, 0.000, 0.000)
Li (0.000, 0.500, 0.500)
Li (0.500, 0.000, 0.500)
Li (0.500, 0.500, 0.000)
Pm (0.250, 0.250, 0.250)
Pm (0.250, 0.750, 0.750)
Pm (0.750, 0.250, 0.750)
Pm (0.750, 0.750, 0.250)
Nd (0.250, 0.250, 0.750)
Nd (0.250, 0.750, 0.250)
Nd (0.750, 0.250, 0.250)
Nd (0.750, 0.750, 0.750)
Ge (0.000, 0.000, 0.500)
Ge (0.000, 0.500, 0.000)
Ge (0.500, 0.000, 0.000)
Ge (0.500, 0.500, 0.500)

---

DFT (PBE) results for a relaxed structure of Li2PmNd2Ge2.

## Properties
E_form: -0.49 eV/atom
Magnetic moment: 0.00 μB per atom

abc: 9.833 9.833 9.833
angles: 26.57 26.57 26.57
Fractional coordinates of all 7 atoms:
Li (0.104, 0.104, 0.104)
Li (0.896, 0.896, 0.896)
Pm (0.500, 0.500, 0.500)
Nd (0.374, 0.374, 0.374)
Nd (0.626, 0.626, 0.626)
Ge (0.233, 0.233, 0.233)
Ge (0.767, 0.767, 0.767)

---

DFT (PBE) results for a relaxed structure of Li2PmNdGe2.

## Properties
E_form: -0.67 eV/atom
Magnetic moment: 0.00 μB per atom

abc: 4.491 4.491 7.524
angles: 90.00 90.00 120.00
Fractional coordinates of all 6 atoms:
Li (0.333, 0.667, 0.244)
Li (0.667, 0.333, 0.756)
Pm (0.000, 0.000, 0.000)
Nd (0.000, 0.000, 0.500)
Ge (0.333, 0.667, 0.753)
Ge (0.667, 0.333, 0.247)

---

DFT (PBE) results for a relaxed structure of Li2Pr2NdGe2.

## Properties
E_form: -0.48 eV/atom
Magnetic moment: 0.00 μB per atom

abc: 9.941 9.941 9.941
angles: 26.42 26.42 26.42
Fractional coordinates of all 7 atoms:
Li (0.104, 0.104, 0.104)
Li (0.896, 0.896, 0.896)
Pr (0.374, 0.374, 0.374)
Pr (0.626, 0.626, 0.626)
Nd (0.500, 0.500, 0.500)
Ge (0.233, 0.233, 0.233)
Ge (0.767, 0.767, 0.767)

---

DFT (PBE) results for a relaxed structure of LiPrNdGe.

## Properties
E_form: -0.42 eV/atom
Magnetic moment: 0.00 μB per atom

abc: 7.386 7.386 7.386
angles: 90.00 90.00 90.00
Fractional coordinates of all 16 atoms:
Li (0.000, 0.000, 0.000)
Li (0.000, 0.500, 0.500)
Li (0.500, 0.000, 0.500)
Li (0.500, 0.500, 0.000)
Pr (0.250, 0.250, 0.250)
Pr (0.250, 0.750, 0.750)
Pr (0.750, 0.250, 0.750)
Pr (0.750, 0.750, 0.250)
Nd (0.250, 0.250, 0.750)
Nd (0.250, 0.750, 0.250)
Nd (0.750, 0.250, 0.250)
Nd (0.750, 0.750, 0.750)
Ge (0.000, 0.000, 0.500)
Ge (0.000, 0.500, 0.000)
Ge (0.500, 0.000, 0.000)
Ge (0.500, 0.500, 0.500)

---

DFT (PBE) results for a relaxed structure of LiNd2Ge4Pt3.

## Properties
E_form: -0.88 eV/atom
Magnetic moment: 0.00 μB per atom

abc: 4.327 4.327 10.307
angles: 90.00 90.00 90.00
Fractional coordinates of all 10 atoms:
Li (0.000, 0.000, 0.000)
Nd (0.000, 0.500, 0.753)
Nd (0.500, 0.000, 0.247)
Ge (0.000, 0.000, 0.500)
Ge (0.000, 0.500, 0.133)
Ge (0.500, 0.000, 0.867)
Ge (0.500, 0.500, 0.500)
Pt (0.000, 0.500, 0.374)
Pt (0.500, 0.000, 0.626)
Pt (0.500, 0.500, 0.000)

---

DFT (PBE) results for a relaxed structure of LiNdGePt2.

## Properties
E_form: -0.83 eV/atom
Magnetic moment: 0.00 μB per atom

abc: 3.924 4.212 11.534
angles: 90.00 90.00 90.00
Fractional coordinates of all 10 atoms:
Li (0.000, 0.000, 0.000)
Li (0.500, 0.500, 0.500)
Nd (0.000, 0.500, 0.243)
Nd (0.500, 0.000, 0.743)
Ge (0.000, 0.500, 0.866)
Ge (0.500, 0.000, 0.366)
Pt (0.000, 0.000, 0.496)
Pt (0.000, 0.500, 0.651)
Pt (0.500, 0.000, 0.151)
Pt (0.500, 0.500, 0.996)

---

DFT (PBE) results for a relaxed structure of LiNdGe2Pt.

## Properties
E_form: -0.83 eV/atom
Magnetic moment: 0.00 μB per atom

abc: 4.182 4.182 10.760
angles: 90.00 90.00 90.00
Fractional coordinates of all 10 atoms:
Li (0.000, 0.000, 0.000)
Li (0.500, 0.500, 0.500)
Nd (0.000, 0.500, 0.750)
Nd (0.500, 0.000, 0.250)
Ge (0.000, 0.500, 0.133)
Ge (0.000, 0.500, 0.367)
Ge (0.500, 0.000, 0.633)
Ge (0.500, 0.000, 0.867)
Pt (0.000, 0.000, 0.500)
Pt (0.500, 0.500, 0.000)

---

DFT (PBE) results for a relaxed structure of LiNdGe2Pt5.

## Properties
E_form: -0.70 eV/atom
Magnetic moment: 0.00 μB per atom

abc: 4.184 4.184 9.410
angles: 90.00 90.00 90.00
Fractional coordinates of all 9 atoms:
Li (0.000, 0.000, 0.000)
Nd (0.000, 0.000, 0.500)
Ge (0.500, 0.500, 0.130)
Ge (0.500, 0.500, 0.870)
Pt (0.000, 0.500, 0.269)
Pt (0.000, 0.500, 0.731)
Pt (0.500, 0.000, 0.269)
Pt (0.500, 0.000, 0.731)
Pt (0.500, 0.500, 0.500)

---

Result set for E_tot: -6.906; -7.055; -6.776; -5.853; -5.306; -4.510; -4.986; -5.414; -5.318; -5.166; -5.261; -4.435; -4.394; -4.435; -4.397; -4.437; -5.685; -5.509; -5.226; -5.820 eV per atom, one per record in the order listed.